A geometry-optimized Ba2IrS structure. Source: Alexandria, functional PBE.

Cell and atoms, written as CIF:
```
data_Ba2IrS
_cell_length_a 7.183
_cell_length_b 7.183
_cell_length_c 7.183
_cell_angle_alpha 109.98
_cell_angle_beta 109.98
_cell_angle_gamma 108.46
_space_group_name_H-M_alt 'P 1'
_space_group_IT_number 1
loop_
_space_group_symop_operation_xyz
'x,y,z'
loop_
_atom_site_label
_atom_site_type_symbol
_atom_site_fract_x
_atom_site_fract_y
_atom_site_fract_z
Ba1 Ba 0.120 0.625 0.995
Ba2 Ba 0.375 0.370 0.495
Ba3 Ba 0.630 0.125 0.005
Ba4 Ba 0.875 0.880 0.505
Ir1 Ir 0.250 0.750 0.500
Ir2 Ir 0.500 0.500 0.000
S1 S 0.000 0.000 0.000
S2 S 0.750 0.250 0.500
```

Output
The calculation puts the magnetization at 0.250 μB per atom. As for the raw formation energy: -0.41 eV per atom. The total energy comes out at -4.622 eV/atom. The calculation puts the density at 5.810 g/cm3.


A geometry-optimized Ba3IrS structure. Source: Alexandria, functional PBE.

Cell and atoms, written as CIF:
```
data_Ba3IrS
_cell_length_a 5.942
_cell_length_b 5.942
_cell_length_c 5.942
_cell_angle_alpha 90.00
_cell_angle_beta 90.00
_cell_angle_gamma 90.00
_space_group_name_H-M_alt 'P 1'
_space_group_IT_number 1
loop_
_space_group_symop_operation_xyz
'x,y,z'
loop_
_atom_site_label
_atom_site_type_symbol
_atom_site_fract_x
_atom_site_fract_y
_atom_site_fract_z
Ba1 Ba 0.000 0.000 0.500
Ba2 Ba 0.000 0.500 0.000
Ba3 Ba 0.500 0.000 0.000
Ir1 Ir 0.000 0.000 0.000
S1 S 0.500 0.500 0.500
```

Output
The calculation puts the magnetization at 0.000 μB per atom. As for the raw formation energy: -0.39 eV per atom. The total energy comes out at -4.146 eV/atom. The calculation puts the density at 5.036 g/cm3.


A geometry-optimized BaIr6S8 structure. Source: Alexandria, functional PBE.

Cell and atoms, written as CIF:
```
data_BaIr6S8
_cell_length_a 6.599
_cell_length_b 6.599
_cell_length_c 6.599
_cell_angle_alpha 89.60
_cell_angle_beta 89.60
_cell_angle_gamma 89.60
_space_group_name_H-M_alt 'P 1'
_space_group_IT_number 1
loop_
_space_group_symop_operation_xyz
'x,y,z'
loop_
_atom_site_label
_atom_site_type_symbol
_atom_site_fract_x
_atom_site_fract_y
_atom_site_fract_z
Ba1 Ba 0.000 0.000 0.000
Ir1 Ir 0.186 0.402 0.575
Ir2 Ir 0.402 0.575 0.186
Ir3 Ir 0.425 0.814 0.598
Ir4 Ir 0.575 0.186 0.402
Ir5 Ir 0.598 0.425 0.814
Ir6 Ir 0.814 0.598 0.425
S1 S 0.144 0.733 0.382
S2 S 0.260 0.260 0.260
S3 S 0.267 0.618 0.856
S4 S 0.382 0.144 0.733
S5 S 0.618 0.856 0.267
S6 S 0.733 0.382 0.144
S7 S 0.740 0.740 0.740
S8 S 0.856 0.267 0.618
```

Output
The calculation puts the magnetization at 0.000 μB per atom. As for the raw formation energy: -0.29 eV per atom. The total energy comes out at -6.165 eV/atom. The calculation puts the density at 8.940 g/cm3.


A geometry-optimized BaIrS2 structure. Source: Alexandria, functional PBE.

Cell and atoms, written as CIF:
```
data_BaIrS2
_cell_length_a 8.528
_cell_length_b 8.528
_cell_length_c 8.528
_cell_angle_alpha 25.58
_cell_angle_beta 25.58
_cell_angle_gamma 25.58
_space_group_name_H-M_alt 'P 1'
_space_group_IT_number 1
loop_
_space_group_symop_operation_xyz
'x,y,z'
loop_
_atom_site_label
_atom_site_type_symbol
_atom_site_fract_x
_atom_site_fract_y
_atom_site_fract_z
Ba1 Ba 0.000 0.000 0.000
Ir1 Ir 0.500 0.500 0.500
S1 S 0.123 0.123 0.123
S2 S 0.877 0.877 0.877
```

Output
The calculation puts the magnetization at 0.000 μB per atom. As for the raw formation energy: -0.42 eV per atom. The total energy comes out at -5.181 eV/atom. The calculation puts the density at 6.422 g/cm3.


A geometry-optimized BaIrS2 structure. Source: Alexandria, functional PBE.

Cell and atoms, written as CIF:
```
data_BaIrS2
_cell_length_a 4.934
_cell_length_b 4.934
_cell_length_c 4.934
_cell_angle_alpha 60.00
_cell_angle_beta 60.00
_cell_angle_gamma 60.00
_space_group_name_H-M_alt 'P 1'
_space_group_IT_number 1
loop_
_space_group_symop_operation_xyz
'x,y,z'
loop_
_atom_site_label
_atom_site_type_symbol
_atom_site_fract_x
_atom_site_fract_y
_atom_site_fract_z
Ba1 Ba 0.000 0.000 0.000
Ir1 Ir 0.500 0.500 0.500
S1 S 0.250 0.250 0.250
S2 S 0.750 0.750 0.750
```

Output
The calculation puts the magnetization at 0.425 μB per atom. As for the raw formation energy: -0.03 eV per atom. The total energy comes out at -4.786 eV/atom. The calculation puts the density at 7.698 g/cm3.


A geometry-optimized BaIrS2 structure. Source: Alexandria, functional PBE.

Cell and atoms, written as CIF:
```
data_BaIrS2
_cell_length_a 4.858
_cell_length_b 4.858
_cell_length_c 4.858
_cell_angle_alpha 72.99
_cell_angle_beta 72.99
_cell_angle_gamma 72.99
_space_group_name_H-M_alt 'P 1'
_space_group_IT_number 1
loop_
_space_group_symop_operation_xyz
'x,y,z'
loop_
_atom_site_label
_atom_site_type_symbol
_atom_site_fract_x
_atom_site_fract_y
_atom_site_fract_z
Ba1 Ba 0.000 0.000 0.000
Ir1 Ir 0.500 0.500 0.500
S1 S 0.295 0.295 0.295
S2 S 0.705 0.705 0.705
```

Output
The calculation puts the magnetization at 0.139 μB per atom. As for the raw formation energy: -0.53 eV per atom. The total energy comes out at -5.293 eV/atom. The calculation puts the density at 6.400 g/cm3.


A geometry-optimized BaIr2S structure. Source: Alexandria, functional PBE.

Cell and atoms, written as CIF:
```
data_BaIr2S
_cell_length_a 8.476
_cell_length_b 8.476
_cell_length_c 8.476
_cell_angle_alpha 144.67
_cell_angle_beta 144.67
_cell_angle_gamma 50.83
_space_group_name_H-M_alt 'P 1'
_space_group_IT_number 1
loop_
_space_group_symop_operation_xyz
'x,y,z'
loop_
_atom_site_label
_atom_site_type_symbol
_atom_site_fract_x
_atom_site_fract_y
_atom_site_fract_z
Ba1 Ba 0.375 0.625 0.750
Ba2 Ba 0.625 0.375 0.250
Ir1 Ir 0.000 0.000 0.000
Ir2 Ir 0.000 0.000 0.500
Ir3 Ir 0.000 0.500 0.000
Ir4 Ir 0.500 0.000 0.500
S1 S 0.125 0.875 0.250
S2 S 0.875 0.125 0.750
```

Output
The calculation puts the magnetization at 0.000 μB per atom. As for the raw formation energy: -0.38 eV per atom. The total energy comes out at -6.324 eV/atom. The calculation puts the density at 9.079 g/cm3.


A geometry-optimized Ba6IrS structure. Source: Alexandria, functional PBE.

Cell and atoms, written as CIF:
```
data_Ba6IrS
_cell_length_a 7.860
_cell_length_b 7.863
_cell_length_c 8.735
_cell_angle_alpha 63.33
_cell_angle_beta 63.29
_cell_angle_gamma 60.03
_space_group_name_H-M_alt 'P 1'
_space_group_IT_number 1
loop_
_space_group_symop_operation_xyz
'x,y,z'
loop_
_atom_site_label
_atom_site_type_symbol
_atom_site_fract_x
_atom_site_fract_y
_atom_site_fract_z
Ba1 Ba 0.094 0.395 0.256
Ba2 Ba 0.245 0.907 0.745
Ba3 Ba 0.397 0.755 0.256
Ba4 Ba 0.603 0.245 0.744
Ba5 Ba 0.755 0.093 0.255
Ba6 Ba 0.906 0.605 0.744
Ir1 Ir 0.000 0.000 0.500
S1 S 0.500 0.500 0.000
```

Output
The calculation puts the magnetization at 0.000 μB per atom. As for the raw formation energy: -0.54 eV per atom. The total energy comes out at -3.603 eV/atom. The calculation puts the density at 4.354 g/cm3.


A geometry-optimized BaSr2IrS structure. Source: Alexandria, functional PBE.

Cell and atoms, written as CIF:
```
data_BaSr2IrS
_cell_length_a 5.502
_cell_length_b 5.502
_cell_length_c 5.962
_cell_angle_alpha 90.00
_cell_angle_beta 90.00
_cell_angle_gamma 90.00
_space_group_name_H-M_alt 'P 1'
_space_group_IT_number 1
loop_
_space_group_symop_operation_xyz
'x,y,z'
loop_
_atom_site_label
_atom_site_type_symbol
_atom_site_fract_x
_atom_site_fract_y
_atom_site_fract_z
Ba1 Ba 0.000 0.000 0.000
Sr1 Sr 0.000 0.500 0.500
Sr2 Sr 0.500 0.000 0.500
Ir1 Ir 0.500 0.500 0.000
S1 S 0.000 0.000 0.500
```

Output
The calculation puts the magnetization at 0.000 μB per atom. As for the raw formation energy: -0.31 eV per atom. The total energy comes out at -3.966 eV/atom. The calculation puts the density at 4.940 g/cm3.


A geometry-optimized BaU2IrS8 structure. Source: Alexandria, functional PBE.

Cell and atoms, written as CIF:
```
data_BaU2IrS8
_cell_length_a 5.899
_cell_length_b 6.128
_cell_length_c 8.236
_cell_angle_alpha 89.95
_cell_angle_beta 89.90
_cell_angle_gamma 88.06
_space_group_name_H-M_alt 'P 1'
_space_group_IT_number 1
loop_
_space_group_symop_operation_xyz
'x,y,z'
loop_
_atom_site_label
_atom_site_type_symbol
_atom_site_fract_x
_atom_site_fract_y
_atom_site_fract_z
Ba1 Ba 0.000 0.000 0.000
U1 U 0.500 0.500 0.262
U2 U 0.500 0.500 0.738
Ir1 Ir 0.000 0.000 0.500
S1 S 0.240 0.330 0.500
S2 S 0.247 0.831 0.693
S3 S 0.248 0.833 0.307
S4 S 0.268 0.405 0.000
S5 S 0.732 0.595 0.000
S6 S 0.752 0.167 0.693
S7 S 0.753 0.169 0.307
S8 S 0.760 0.670 0.500
```

Output
The calculation puts the magnetization at 0.090 μB per atom. As for the raw formation energy: -0.97 eV per atom. The total energy comes out at -6.506 eV/atom. The calculation puts the density at 5.928 g/cm3.


A geometry-optimized Ba2UIrS6 structure. Source: Alexandria, functional PBE.

Cell and atoms, written as CIF:
```
data_Ba2UIrS6
_cell_length_a 6.985
_cell_length_b 6.985
_cell_length_c 6.985
_cell_angle_alpha 60.00
_cell_angle_beta 60.00
_cell_angle_gamma 60.00
_space_group_name_H-M_alt 'P 1'
_space_group_IT_number 1
loop_
_space_group_symop_operation_xyz
'x,y,z'
loop_
_atom_site_label
_atom_site_type_symbol
_atom_site_fract_x
_atom_site_fract_y
_atom_site_fract_z
Ba1 Ba 0.250 0.250 0.250
Ba2 Ba 0.750 0.750 0.750
U1 U 0.000 0.000 0.000
Ir1 Ir 0.500 0.500 0.500
S1 S 0.260 0.260 0.740
S2 S 0.260 0.740 0.260
S3 S 0.260 0.740 0.740
S4 S 0.740 0.260 0.260
S5 S 0.740 0.260 0.740
S6 S 0.740 0.740 0.260
```

Output
The calculation puts the magnetization at 0.100 μB per atom. As for the raw formation energy: -1.38 eV per atom. The total energy comes out at -6.260 eV/atom. The calculation puts the density at 6.183 g/cm3.


A geometry-optimized BaSb3Ir structure. Source: Alexandria, functional PBE.

Cell and atoms, written as CIF:
```
data_BaSb3Ir
_cell_length_a 5.370
_cell_length_b 5.370
_cell_length_c 5.370
_cell_angle_alpha 90.00
_cell_angle_beta 90.00
_cell_angle_gamma 90.00
_space_group_name_H-M_alt 'P 1'
_space_group_IT_number 1
loop_
_space_group_symop_operation_xyz
'x,y,z'
loop_
_atom_site_label
_atom_site_type_symbol
_atom_site_fract_x
_atom_site_fract_y
_atom_site_fract_z
Ba1 Ba 0.000 0.000 0.000
Sb1 Sb 0.000 0.500 0.500
Sb2 Sb 0.500 0.000 0.500
Sb3 Sb 0.500 0.500 0.000
Ir1 Ir 0.500 0.500 0.500
```

Output
The calculation puts the magnetization at 0.000 μB per atom. As for the raw formation energy: -0.09 eV per atom. The total energy comes out at -4.718 eV/atom. The calculation puts the density at 7.452 g/cm3.